# 1
Computed, not measured: an optimized crystal structure of TlAs3 at the PBE level of DFT.

E_form = 0.214 eV/atom
D(E_F) = 8.535 states/eV per cell
Crystal system = orthorhombic
Offset from the most stable computed form = 55 meV per atom
Volume = 25.04 Å³/atom

Cell lengths 8.2300, 7.0843, 6.8707 Å; angles 90.00, 90.00, 90.00 degrees
Fractional coordinates of all 16 atoms:
Tl1 0.6202 0.9341 0.7500
Tl2 0.1202 0.5659 0.2500
Tl3 0.8798 0.4341 0.7500
Tl4 0.3798 0.0659 0.2500
As1 0.1202 0.9170 0.7500
As2 0.6202 0.5830 0.2500
As3 0.3798 0.4170 0.7500
As4 0.8798 0.0830 0.2500
As5 0.5938 0.2970 0.9889
As6 0.0938 0.2030 0.0111
As7 0.9062 0.7970 0.5111
As8 0.4062 0.7030 0.4889
As9 0.4062 0.7030 0.0111
As10 0.9062 0.7970 0.9889
As11 0.0938 0.2030 0.4889
As12 0.5938 0.2970 0.5111

=====

# 2
Computed, not measured: an optimized crystal structure of TlAs at the PBE level of DFT.

E_form = -0.002 eV/atom
D(E_F) = 0.995 states/eV per cell
Crystal system = monoclinic
Volume = 29.03 Å³/atom

Cell lengths 6.7876, 6.7876, 5.0499 Å; angles 74.64, 74.64, 31.28 degrees
Fractional coordinates of all 4 atoms:
Tl1 0.2716 0.2716 0.1927
Tl2 0.4784 0.4784 0.5573
As1 0.0606 0.0606 0.9846
As2 0.6894 0.6894 0.7654